Record 1
TmOs2: PBEsol geometry, meta-GGA SCAN.

POSCAR file:
```
TmOs2
1.0
5.2235 0.0000 0.0000
-2.6117 4.5237 0.0000
0.0000 0.0000 8.7202
Tm Os
4 8
Direct
0.3333 0.6667 0.0655
0.3333 0.6667 0.4345
0.6667 0.3333 0.5655
0.6667 0.3333 0.9345
0.0000 0.0000 0.0000
0.0000 0.0000 0.5000
0.1716 0.3433 0.7500
0.1716 0.8284 0.7500
0.3433 0.1716 0.2500
0.6567 0.8284 0.7500
0.8284 0.1716 0.2500
0.8284 0.6567 0.2500
```

Results
ΔE_f ... -0.5190 eV/atom
Size of the total moment ... 0.00 μB/f.u.
Total energy ... -197.15 eV/f.u.
Space group ... P6_3/mmc (194)

=====

Record 2
ZnTcAg: PBEsol geometry, meta-GGA SCAN.

POSCAR file:
```
ZnTcAg
1.0
2.7219 0.0000 0.0000
-1.3610 2.3572 0.0000
0.0000 0.0000 6.8017
Zn Tc Ag
1 1 1
Direct
0.0000 0.0000 0.0000
0.6667 0.3333 0.3186
0.3333 0.6667 0.6683
```

Results
ΔE_f ... 0.2140 eV/atom
Size of the total moment ... 0.00 μB/f.u.
Total energy ... -79.30 eV/f.u.
Space group ... P3m1 (156)